No. 1
The following is a DFT calculation (GGA-PBE) of a relaxed TlIn crystal.

Output
SG   No. 19

```
TlIn
1.0
-6.052 1.760 -3.726
3.697 -1.280 -6.610
-2.590 -8.490 0.195
Tl In
8 8
Direct
0.621 0.236 0.047
0.121 0.264 0.953
0.379 0.736 0.453
0.879 0.764 0.547
0.177 0.699 0.830
0.677 0.801 0.170
0.823 0.199 0.670
0.323 0.301 0.330
0.272 0.926 0.122
0.772 0.574 0.878
0.728 0.426 0.378
0.228 0.074 0.622
0.446 0.418 0.691
0.946 0.082 0.309
0.554 0.918 0.809
0.054 0.582 0.191
```

***

No. 2
The following is a DFT calculation (GGA-PBE) of a relaxed TlIn2 crystal.

Output
SG   No. 194
E above lowest polymorph   34.4 meV/atom

```
TlIn2
1.0
5.515 0.000 0.000
-2.757 4.776 0.000
0.000 0.000 6.597
In Tl
4 2
Direct
0.000 0.000 0.000
0.000 0.000 0.500
0.333 0.667 0.250
0.667 0.333 0.750
0.667 0.333 0.250
0.333 0.667 0.750
```

***

No. 3
The following is a DFT calculation (GGA-PBE) of a relaxed TlIn crystal.

Output
SG   No. 8

```
TlIn
1.0
-3.798 5.350 -0.776
-5.910 2.638 -1.330
-3.516 1.246 7.310
In Tl
3 3
Direct
0.007 0.007 0.998
0.668 0.668 0.673
0.601 0.601 0.272
0.322 0.322 0.338
0.952 0.952 0.607
0.283 0.283 0.945
```

***

No. 4
The following is a DFT calculation (GGA-PBE) of a relaxed Tl13In2 crystal.

Output
SG   No. 2
E above lowest polymorph   0.0 meV/atom

```
Tl13In2
1.0
-2.781 -4.134 4.206
5.926 2.893 5.326
-8.072 4.394 0.385
Tl In
13 2
Direct
0.672 0.666 0.005
0.328 0.334 0.995
0.000 0.000 0.000
0.267 0.069 0.594
0.733 0.931 0.406
0.138 0.535 0.785
0.862 0.465 0.215
0.385 0.594 0.401
0.615 0.406 0.599
0.475 0.869 0.798
0.525 0.131 0.202
0.805 0.208 0.806
0.195 0.792 0.194
0.937 0.742 0.602
0.063 0.258 0.398
```

***

No. 5
The following is a DFT calculation (GGA-PBE) of a relaxed TlIn crystal.

Output
SG   No. 223

```
TlIn
1.0
8.460 0.000 0.000
0.000 8.460 0.000
0.000 0.000 8.460
Tl In
6 6
Direct
0.250 0.500 0.000
0.750 0.500 0.000
0.500 0.000 0.250
0.500 0.000 0.750
0.000 0.250 0.500
0.000 0.750 0.500
0.250 0.000 0.500
0.750 0.000 0.500
0.000 0.500 0.250
0.000 0.500 0.750
0.500 0.250 0.000
0.500 0.750 0.000
```

***

No. 6
The following is a DFT calculation (GGA-PBE) of a relaxed TlIn crystal.

Output
SG   No. 44

```
TlIn
1.0
-15.833 -3.233 2.407
0.577 -0.389 3.272
-1.145 6.316 0.953
Tl In
6 6
Direct
0.323 0.000 0.664
0.677 0.000 0.664
0.823 0.500 0.164
0.177 0.500 0.164
0.000 0.000 0.936
0.500 0.500 0.436
0.354 0.000 0.161
0.646 0.000 0.161
0.854 0.500 0.661
0.146 0.500 0.661
0.000 0.000 0.416
0.500 0.500 0.916
```

***

No. 7
The following is a DFT calculation (GGA-PBE) of a relaxed Tl5In3 crystal.

Output
SG   No. 65
E above lowest polymorph   19.0 meV/atom

```
Tl5In3
1.0
6.637 0.126 0.000
-0.546 6.615 0.000
0.000 0.000 5.349
In Tl
3 5
Direct
0.500 0.500 0.000
0.753 0.247 0.500
0.247 0.753 0.500
0.000 0.000 0.000
0.000 0.500 0.000
0.500 0.000 0.000
0.256 0.256 0.500
0.744 0.744 0.500
```

***

No. 8
The following is a DFT calculation (GGA-PBE) of a relaxed TlIn4 crystal.

Output
SG   No. 229
E above lowest polymorph   291.1 meV/atom

```
TlIn4
1.0
3.594 -2.442 4.240
-4.656 2.829 2.679
-2.113 -4.383 -3.630
Tl In
1 4
Direct
0.000 0.000 0.000
0.500 0.000 0.000
0.500 0.500 0.500
0.000 0.500 0.000
0.000 0.000 0.500
```

***

Number 1: final energy -2.474 eV per atom, formation energy 15 kJ/mol of formula units. Number 2: final energy -2.579 eV per atom, formation energy 10 kJ/mol of formula units. Number 3: final energy -2.532 eV per atom, formation energy 4 kJ/mol of formula units. Number 4: final energy -2.402 eV per atom, formation energy 20 kJ/mol of formula units. Number 5: final energy -2.160 eV per atom, formation energy 76 kJ/mol of formula units. Number 6: final energy -2.513 eV per atom, formation energy 8 kJ/mol of formula units. Number 7: final energy -2.474 eV per atom, formation energy 24 kJ/mol of formula units. Number 8: final energy -2.354 eV per atom, formation energy 149 kJ/mol of formula units.